[1]
## SrTl2RhAu (PBE)

Data for SrTl2RhAu after structural relaxation.

Summary:
The space-group type is P4/mmm (123). The crystal system is tetragonal. The calculation puts the formation energy from the elements at -0.7 eV/f.u. The calculation puts the energy relative to the lowest polymorph listed for this composition at 14 meV/atom.

a = 5.1625 Å, b = 5.1625 Å, c = 5.3991 Å
α = 90.00°, β = 90.00°, γ = 90.00°
Closest atoms and distances in Å follow each position.
Fractional positions:
Rh1 0.0000 0.0000 0.0000  4 Tl 2.58, 2 Au 2.70
Tl1 0.0000 0.5000 0.0000  2 Rh 2.58
Tl2 0.5000 0.0000 0.0000  2 Rh 2.58
Au1 0.0000 0.0000 0.5000  2 Rh 2.70
Sr1 0.5000 0.5000 0.5000  4 Au 3.65, 8 Tl 3.74


[2]
## K3Pt (PBE)

Data for K3Pt after structural relaxation.

Summary:
The space-group type is Pnma (62). The crystal system is orthorhombic. The calculation puts the formation energy from the elements at 0.1 eV/f.u.

a = 8.9765 Å, b = 10.2858 Å, c = 6.8529 Å
α = 90.00°, β = 90.00°, γ = 90.00°
Closest atoms and distances in Å follow each position.
Fractional positions:
K1 0.0343 0.2500 0.8885  2 Pt 3.27-3.40
K2 0.1637 0.0647 0.3581  3 Pt 3.28-3.54
K3 0.1637 0.4353 0.3581  3 Pt 3.28-3.54
K4 0.3363 0.5647 0.8581  3 Pt 3.28-3.54
K5 0.3363 0.9353 0.8581  3 Pt 3.28-3.54
K6 0.4657 0.7500 0.3885  2 Pt 3.27-3.40
K7 0.5343 0.2500 0.6115  2 Pt 3.27-3.40
K8 0.6637 0.0647 0.1419  3 Pt 3.28-3.54
K9 0.6637 0.4353 0.1419  3 Pt 3.28-3.54
K10 0.8363 0.5647 0.6419  3 Pt 3.28-3.54
K11 0.8363 0.9353 0.6419  3 Pt 3.28-3.54
K12 0.9657 0.7500 0.1115  2 Pt 3.27-3.40
Pt1 0.1265 0.7500 0.5609  8 K 3.27-3.54
Pt2 0.3735 0.2500 0.0609  8 K 3.27-3.54
Pt3 0.6265 0.7500 0.9391  8 K 3.27-3.54
Pt4 0.8735 0.2500 0.4391  8 K 3.27-3.54


[3]
## Ta2AgW (PBE)

Data for Ta2AgW after structural relaxation.

Summary:
The space-group type is Cmm2 (35). The crystal system is orthorhombic. The calculation puts the formation energy from the elements at 0.8 eV/f.u. The calculation puts the energy relative to the lowest polymorph listed for this composition at 91 meV/atom.

a = 2.8002 Å, b = 2.8002 Å, c = 9.4067 Å
α = 90.00°, β = 90.00°, γ = 108.21°
Closest atoms and distances in Å follow each position.
Fractional positions:
Ag1 0.5000 0.5000 0.7465  4 Ag 2.80, 2 W 2.88, 2 Ta 2.92
W1 0.0000 0.0000 0.4946  2 Ta 2.78, 4 W 2.80, 2 Ag 2.88
Ta1 0.0000 0.0000 0.0034  6 Ta 2.80-2.88, 2 Ag 2.92
Ta2 0.5000 0.5000 0.2555  2 W 2.78, 6 Ta 2.80-2.88


[4]
## Cs2RbYBr6 (PBE)

Data for Cs2RbYBr6 after structural relaxation.

Summary:
The space-group type is P2_1/c (14). The crystal system is monoclinic. The calculation puts the formation energy (no corrections) at -1.871 eV per atom. The calculation puts the energy relative to the lowest polymorph listed for this composition at 0 meV/atom.

a = 8.3389 Å, b = 8.7413 Å, c = 11.9663 Å
α = 90.00°, β = 89.80°, γ = 90.00°
Closest atoms and distances in Å follow each position.
Fractional positions:
Cs1 0.0216 0.9342 0.2509  6 Br 3.67-3.94
Cs2 0.5216 0.5658 0.7509  6 Br 3.67-3.94
Cs3 0.9784 0.0658 0.7491  6 Br 3.67-3.94
Cs4 0.4784 0.4342 0.2491  6 Br 3.67-3.94
Rb1 0.5000 0.0000 0.0000  6 Br 3.39-3.45
Rb2 0.0000 0.5000 0.5000  6 Br 3.39-3.45
Y1 0.5000 0.0000 0.5000  6 Br 2.81-2.83
Y2 0.0000 0.5000 0.0000  6 Br 2.81-2.83
Br1 0.2741 0.6789 0.0440  1 Y 2.82
Br2 0.7741 0.8211 0.5440  1 Y 2.82
Br3 0.7259 0.3211 0.9560  1 Y 2.82
Br4 0.2259 0.1789 0.4560  1 Y 2.82
Br5 0.3266 0.7312 0.4480  1 Y 2.83
Br6 0.8266 0.7688 0.9480  1 Y 2.83
Br7 0.6734 0.2688 0.5520  1 Y 2.83
Br8 0.1734 0.2312 0.0520  1 Y 2.83
Br9 0.9065 0.5283 0.2253  1 Y 2.81
Br10 0.4065 0.9717 0.7253  1 Y 2.81
Br11 0.0935 0.4717 0.7747  1 Y 2.81
Br12 0.5935 0.0283 0.2747  1 Y 2.81


no.,ρ (g cm⁻³)
1,9.19
2,3.28
3,15.49
4,3.50